This record from Alexandria via LeMat-Bulk describes a relaxed Ba3Co crystal. The functional is PBE-GGA.

POSCAR file:
```
Ba3Co
1.0
-1.394 -2.089 -6.961
8.077 -0.476 -1.475
-0.043 -10.812 3.253
Co Ba
4 12
direct
0.543 0.893 0.750 Co
0.043 0.607 0.250 Co
0.957 0.393 0.750 Co
0.457 0.107 0.250 Co
0.162 0.059 0.750 Ba
0.662 0.441 0.250 Ba
0.338 0.559 0.750 Ba
0.838 0.941 0.250 Ba
0.677 0.164 0.922 Ba
0.177 0.336 0.078 Ba
0.823 0.664 0.578 Ba
0.323 0.836 0.422 Ba
0.323 0.836 0.078 Ba
0.823 0.664 0.922 Ba
0.177 0.336 0.422 Ba
0.677 0.164 0.578 Ba
```

Computed properties:
VASP energy, eV/atom: -2.92
Symmetry: Pnma, No. 62
Offset from the most stable computed form, meV/atom: 2.9

This record from Alexandria via LeMat-Bulk describes a relaxed BaCo3 crystal. The functional is PBE-GGA.

POSCAR file:
```
BaCo3
1.0
-1.160 2.903 0.127
-2.656 -1.004 -1.313
-2.769 -1.398 6.668
Ba Co
1 3
direct
0.000 0.000 0.000 Ba
0.500 0.500 0.345 Co
0.000 0.000 0.500 Co
0.500 0.500 0.655 Co
```

Computed properties:
VASP energy, eV/atom: -5.22
Symmetry: P4/mmm, No. 123

This record from Alexandria via LeMat-Bulk describes a relaxed Ba3Co crystal. The functional is PBE-GGA.

POSCAR file:
```
Ba3Co
1.0
-3.370 -3.656 5.071
4.662 -3.649 -3.923
1.814 6.671 1.625
Ba Co
3 1
direct
0.000 0.000 0.000 Ba
0.500 0.000 0.500 Ba
0.500 0.500 0.000 Ba
0.000 0.500 0.500 Co
```

Computed properties:
VASP energy, eV/atom: -2.49
Symmetry: R-3m, No. 166
Offset from the most stable computed form, meV/atom: 426.6

This record from Alexandria via LeMat-Bulk describes a relaxed BaCo3 crystal. The functional is PBE-GGA.

POSCAR file:
```
BaCo3
1.0
-2.849 -0.857 -5.562
3.064 -6.825 -0.518
-5.105 -2.519 3.003
Co Ba
12 4
direct
0.156 0.853 0.750 Co
0.656 0.647 0.250 Co
0.344 0.353 0.750 Co
0.844 0.147 0.250 Co
0.581 0.369 0.077 Co
0.081 0.131 0.923 Co
0.919 0.869 0.423 Co
0.419 0.631 0.577 Co
0.419 0.631 0.923 Co
0.919 0.869 0.077 Co
0.081 0.131 0.577 Co
0.581 0.369 0.423 Co
0.621 0.020 0.750 Ba
0.121 0.480 0.250 Ba
0.879 0.520 0.750 Ba
0.379 0.980 0.250 Ba
```

Computed properties:
VASP energy, eV/atom: -5.37
Symmetry: Pnma, No. 62

This record from Alexandria via LeMat-Bulk describes a relaxed BaCo crystal. The functional is PBE-GGA.

POSCAR file:
```
BaCo
1.0
-10.999 -2.757 2.895
0.998 -3.782 0.189
1.931 0.919 8.212
Ba Co
6 6
direct
0.816 0.000 0.242 Ba
0.184 0.000 0.242 Ba
0.316 0.500 0.742 Ba
0.684 0.500 0.742 Ba
0.000 0.500 0.857 Ba
0.500 0.000 0.357 Ba
0.903 0.000 0.581 Co
0.097 0.000 0.581 Co
0.403 0.500 0.081 Co
0.597 0.500 0.081 Co
0.000 0.500 0.497 Co
0.500 0.000 0.997 Co
```

Computed properties:
VASP energy, eV/atom: -4.10
Symmetry: Imm2, No. 44

This record from Alexandria via LeMat-Bulk describes a relaxed Ba2Co crystal. The functional is PBE-GGA.

POSCAR file:
```
Ba2Co
1.0
-1.924 1.924 15.774
1.924 -1.924 15.774
1.924 1.924 -15.774
Ba Co
4 2
direct
0.558 0.558 0.000 Ba
0.192 0.692 0.500 Ba
0.442 0.442 0.000 Ba
0.308 0.808 0.500 Ba
0.000 0.000 0.000 Co
0.750 0.250 0.500 Co
```

Computed properties:
VASP energy, eV/atom: -3.21
Symmetry: I4_1/amd, No. 141

This record from Alexandria via LeMat-Bulk describes a relaxed BaCo3 crystal. The functional is PBE-GGA.

POSCAR file:
```
BaCo3
1.0
-2.548 2.358 -3.054
-2.835 -3.637 0.333
-1.605 1.478 2.480
Ba Co
1 3
direct
0.000 0.000 0.000 Ba
0.000 0.500 0.500 Co
0.500 0.000 0.500 Co
0.500 0.500 0.000 Co
```

Computed properties:
VASP energy, eV/atom: -4.70
Symmetry: Cmmm, No. 65

This record from Alexandria via LeMat-Bulk describes a relaxed BaCo3 crystal. The functional is PBE-GGA.

POSCAR file:
```
BaCo3
1.0
-0.999 2.409 2.960
0.792 -3.154 2.834
5.072 0.801 1.059
Ba Co
1 3
direct
0.000 0.000 0.000 Ba
0.500 0.744 0.568 Co
0.000 0.500 0.500 Co
0.500 0.256 0.432 Co
```

Computed properties:
VASP energy, eV/atom: -5.25
Symmetry: P2/m, No. 10

This record from Alexandria via LeMat-Bulk describes a relaxed Ba4Co3 crystal. The functional is PBE-GGA.

POSCAR file:
```
Ba4Co3
1.0
1.995 3.891 -2.673
-4.757 0.351 1.874
3.987 4.347 9.305
Ba Co
4 3
direct
0.000 0.000 0.184 Ba
0.000 0.000 0.816 Ba
0.667 0.333 0.500 Ba
0.333 0.667 0.500 Ba
0.000 0.500 0.000 Co
0.500 0.500 0.000 Co
0.500 0.000 0.000 Co
```

Computed properties:
VASP energy, eV/atom: -3.39
Symmetry: P6/mmm, No. 191

This record from Alexandria via LeMat-Bulk describes a relaxed Ba5Co crystal. The functional is PBE-GGA.

POSCAR file:
```
Ba5Co
1.0
3.729 -6.459 0.000
3.729 6.459 0.000
0.000 0.000 7.342
Ba Co
5 1
direct
0.333 0.667 0.000 Ba
0.667 0.333 0.000 Ba
0.500 0.000 0.500 Ba
0.000 0.500 0.500 Ba
0.500 0.500 0.500 Ba
0.000 0.000 0.000 Co
```

Computed properties:
VASP energy, eV/atom: -1.88
Symmetry: P6/mmm, No. 191
Offset from the most stable computed form, meV/atom: 657.2

This record from Alexandria via LeMat-Bulk describes a relaxed Ba3Co crystal. The functional is PBE-GGA.

POSCAR file:
```
Ba3Co
1.0
-2.486 -0.544 -4.922
-0.722 -5.409 0.963
-4.902 1.074 2.358
Ba Co
3 1
direct
0.000 0.500 0.500 Ba
0.500 0.000 0.500 Ba
0.500 0.500 0.000 Ba
0.000 0.000 0.000 Co
```

Computed properties:
VASP energy, eV/atom: -2.59
Symmetry: Pm-3m, No. 221
Offset from the most stable computed form, meV/atom: 327.5

This record from Alexandria via LeMat-Bulk describes a relaxed Ba3Co crystal. The functional is PBE-GGA.

POSCAR file:
```
Ba3Co
1.0
-2.623 -10.994 2.303
-1.477 -11.262 -2.008
1.680 -11.354 1.153
Ba Co
3 1
direct
0.718 0.718 0.718 Ba
0.500 0.500 0.500 Ba
0.282 0.282 0.282 Ba
0.000 0.000 0.000 Co
```

Computed properties:
VASP energy, eV/atom: -2.87
Symmetry: R-3m, No. 166
Offset from the most stable computed form, meV/atom: 46.6